Record 1
Ca2CrAu | PBE | relaxed

a b c (Å): 3.6639 3.6639 8.0399
angles (deg): 90.00 90.00 90.00
With the nearest neighbours (Å) after each atom.
Sites, in units of the cell vectors:
Ca 0.0000 0.0000 0.0000  1 Cr 3.03, 4 Au 3.18
Ca 0.5000 0.5000 0.3765  1 Au 3.17, 4 Cr 3.26
Cr 0.0000 0.0000 0.6234  4 Au 2.85, 1 Ca 3.03
Au 0.5000 0.5000 0.7712  4 Cr 2.85, 5 Ca 3.17-3.18

Computed properties:
The calculation puts the density of states at the Fermi level at 3.27 states/eV per cell. The calculation puts the formation energy from the elements at 14 meV per atom. The value obtained for the offset from the most stable computed form is 117 meV/atom. Its space group is P4mm.

---

Record 2
Ca2CrAu | PBE | relaxed

a b c (Å): 8.8745 8.8745 8.8745
angles (deg): 25.96 25.96 25.96
With the nearest neighbours (Å) after each atom.
Sites, in units of the cell vectors:
Ca 0.2403 0.2403 0.2403  3 Au 2.98, 3 Cr 3.32
Ca 0.7597 0.7597 0.7597  3 Au 2.98, 3 Cr 3.32
Cr 0.0000 0.0000 0.0000  6 Ca 3.32
Au 0.5000 0.5000 0.5000  6 Ca 2.98

Computed properties:
The calculation puts the density of states at the Fermi level at 2.55 states/eV per cell. The calculation puts the formation energy from the elements at 155 meV per atom. The value obtained for the offset from the most stable computed form is 258 meV/atom. Its space group is R-3m.

---

Record 3
CaCrAu2 | PBE | relaxed

a b c (Å): 4.8532 4.8532 4.8532
angles (deg): 60.00 60.00 60.00
With the nearest neighbours (Å) after each atom.
Sites, in units of the cell vectors:
Ca 0.0000 0.0000 0.0000  4 Cr 2.97, 4 Au 2.97
Cr 0.7500 0.7500 0.7500  4 Ca 2.97, 4 Au 2.97
Au 0.2500 0.2500 0.2500  4 Ca 2.97, 4 Au 2.97
Au 0.5000 0.5000 0.5000  4 Cr 2.97, 4 Au 2.97

Computed properties:
The calculation puts the density of states at the Fermi level at 1.44 states/eV per cell. The calculation puts the formation energy from the elements at -86 meV per atom. Its space group is F-43m.

---

Record 4
Ca2CrAu | PBE | relaxed

a b c (Å): 6.2986 6.2986 6.2986
angles (deg): 145.61 132.12 60.27
With the nearest neighbours (Å) after each atom.
Sites, in units of the cell vectors:
Ca 0.0000 0.0000 0.0000  4 Au 3.18, 2 Ca 3.42, 2 Cr 3.46
Ca 0.7089 0.2089 0.5000  2 Au 3.22, 4 Cr 3.27, 2 Ca 3.42
Cr 0.2854 0.7854 0.5000  2 Au 2.73
Au 0.4681 0.4681 0.0000  2 Cr 2.73

Computed properties:
The calculation puts the density of states at the Fermi level at 2.83 states/eV per cell. The calculation puts the formation energy from the elements at -26 meV per atom. The value obtained for the offset from the most stable computed form is 77 meV/atom. Its space group is Imm2.

---

Record 5
CaCrAu2 | PBE | relaxed

a b c (Å): 3.6715 3.8855 5.9771
angles (deg): 90.00 90.00 90.00
With the nearest neighbours (Å) after each atom.
Sites, in units of the cell vectors:
Ca 0.0000 0.0000 0.0000  6 Au 2.91-3.06
Cr 0.5000 0.5000 0.3317  5 Au 2.72-2.83
Au 0.0000 0.0000 0.4876  4 Cr 2.83, 2 Ca 2.91-3.06
Au 0.5000 0.5000 0.7870  1 Cr 2.72, 4 Ca 2.96

Computed properties:
The calculation puts the density of states at the Fermi level at 2.09 states/eV per cell. The calculation puts the formation energy from the elements at -120 meV per atom. Its space group is Pmm2.

---

Record 6
Ca2CrAu | PBE | relaxed

a b c (Å): 3.7260 3.7260 7.3786
angles (deg): 90.00 90.00 90.00
With the nearest neighbours (Å) after each atom.
Sites, in units of the cell vectors:
Ca 0.0000 0.0000 0.2350  4 Au 3.15, 4 Cr 3.28, 1 Ca 3.47
Ca 0.0000 0.0000 0.7650  4 Au 3.15, 4 Cr 3.28, 1 Ca 3.47
Cr 0.5000 0.5000 0.5000  8 Ca 3.28
Au 0.5000 0.5000 0.0000  8 Ca 3.15

Computed properties:
The calculation puts the density of states at the Fermi level at 3.25 states/eV per cell. The calculation puts the formation energy from the elements at -38 meV per atom. The value obtained for the offset from the most stable computed form is 64 meV/atom. Its space group is P4/mmm.

---

Record 7
Ca2CrAu | PBE | relaxed

a b c (Å): 5.2220 5.2220 5.2220
angles (deg): 60.00 60.00 60.00
With the nearest neighbours (Å) after each atom.
Sites, in units of the cell vectors:
Ca 0.2500 0.2500 0.2500  4 Au 3.20, 4 Cr 3.20
Ca 0.7500 0.7500 0.7500  4 Au 3.20, 4 Cr 3.20
Cr 0.0000 0.0000 0.0000  8 Ca 3.20
Au 0.5000 0.5000 0.5000  8 Ca 3.20

Computed properties:
The calculation puts the density of states at the Fermi level at 5.21 states/eV per cell. The calculation puts the formation energy from the elements at -20 meV per atom. The value obtained for the offset from the most stable computed form is 83 meV/atom. Its space group is Fm-3m.

---

Record 8
Ca2CrAu | PBE | relaxed

a b c (Å): 4.5020 6.0459 6.0459
angles (deg): 41.30 90.00 90.00
With the nearest neighbours (Å) after each atom.
Sites, in units of the cell vectors:
Ca 0.0000 0.0000 0.0000  3 Au 3.22-3.24, 4 Cr 3.23
Ca 0.5000 0.2895 0.2895  3 Cr 3.19-3.28, 4 Au 3.22
Cr 0.5000 0.5798 0.5798  2 Au 2.71
Au 0.0000 0.7137 0.7137  2 Cr 2.71

Computed properties:
The calculation puts the density of states at the Fermi level at 2.58 states/eV per cell. The calculation puts the formation energy from the elements at -102 meV per atom. The value obtained for the offset from the most stable computed form is 0 meV/atom. Its space group is Amm2.

---

Record 9
CaCr3Au | PBE | relaxed

a b c (Å): 5.0973 5.0973 5.0973
angles (deg): 90.00 90.00 90.00
With the nearest neighbours (Å) after each atom.
Sites, in units of the cell vectors:
Ca 0.0000 0.0000 0.0000  12 Cr 3.60
Cr 0.0000 0.5000 0.5000  2 Au 2.55
Cr 0.5000 0.0000 0.5000  2 Au 2.55
Cr 0.5000 0.5000 0.0000  2 Au 2.55
Au 0.5000 0.5000 0.5000  6 Cr 2.55

Computed properties:
The calculation puts the density of states at the Fermi level at 4.92 states/eV per cell. The calculation puts the formation energy from the elements at 955 meV per atom. The value obtained for the offset from the most stable computed form is 0 meV/atom. Its space group is Pm-3m.

---

Record 10
Ca2CrHAu | PBE | relaxed

a b c (Å): 5.0740 5.0740 3.8113
angles (deg): 90.00 90.00 90.00
With the nearest neighbours (Å) after each atom.
Sites, in units of the cell vectors:
Ca 0.0000 0.5000 0.0000  2 H 2.54
Ca 0.5000 0.0000 0.0000  2 H 2.54
Cr 0.0000 0.0000 0.5000  2 H 1.91
H 0.0000 0.0000 0.0000  2 Cr 1.91
Au 0.5000 0.5000 0.5000  8 Ca 3.17

Computed properties:
The calculation puts the density of states at the Fermi level at 2.73 states/eV per cell. The value obtained for the offset from the most stable computed form is 0 meV/atom. Its space group is P4/mmm.

---

Record 11
Ca2CrHAu | PBE | relaxed

a b c (Å): 5.8651 5.8651 3.6113
angles (deg): 90.00 90.00 90.00
With the nearest neighbours (Å) after each atom.
Sites, in units of the cell vectors:
Ca 0.0000 0.5000 0.0000  2 Au 2.93
Ca 0.5000 0.0000 0.0000  2 Au 2.93
Cr 0.0000 0.0000 0.5000  8 Ca 3.44, 2 Cr 3.61
H 0.5000 0.5000 0.5000  2 Au 1.81
Au 0.5000 0.5000 0.0000  2 H 1.81

Computed properties:
The calculation puts the density of states at the Fermi level at 2.89 states/eV per cell. The value obtained for the offset from the most stable computed form is 457 meV/atom. Its space group is P4/mmm.

---

Record 12
Ca2HfCrAu | PBE | relaxed

a b c (Å): 5.3941 5.3941 4.8969
angles (deg): 90.00 90.00 90.00
With the nearest neighbours (Å) after each atom.
Sites, in units of the cell vectors:
Ca 0.0000 0.5000 0.0000  2 Au 2.70
Ca 0.5000 0.0000 0.0000  2 Au 2.70
Hf 0.0000 0.0000 0.5000  8 Ca 3.64, 4 Cr 3.81
Cr 0.5000 0.5000 0.5000  2 Au 2.45
Au 0.5000 0.5000 0.0000  2 Cr 2.45, 4 Ca 2.70

Computed properties:
The calculation puts the density of states at the Fermi level at 8.72 states/eV per cell. The calculation puts the formation energy from the elements at 998 meV per atom. Its space group is P4/mmm.

---

Record 13
CaCrIrAu2 | PBE | relaxed

a b c (Å): 4.7158 4.7158 4.8635
angles (deg): 90.00 90.00 90.00
With the nearest neighbours (Å) after each atom.
Sites, in units of the cell vectors:
Ca 0.0000 0.0000 0.0000  2 Cr 2.43
Cr 0.0000 0.0000 0.5000  4 Au 2.36, 2 Ca 2.43
Ir 0.5000 0.5000 0.0000  4 Ca 3.33, 8 Au 3.39
Au 0.0000 0.5000 0.5000  2 Cr 2.36
Au 0.5000 0.0000 0.5000  2 Cr 2.36

Computed properties:
The calculation puts the density of states at the Fermi level at 8.26 states/eV per cell. The calculation puts the formation energy from the elements at 1379 meV per atom. Its space group is P4/mmm.

---

Record 14
LiCaCr2Au | PBE | relaxed

a b c (Å): 4.3582 4.3582 4.3537
angles (deg): 90.00 90.00 90.00
With the nearest neighbours (Å) after each atom.
Sites, in units of the cell vectors:
Li 0.0000 0.0000 0.0000  2 Ca 2.18
Ca 0.0000 0.0000 0.5000  2 Li 2.18, 4 Cr 2.18
Cr 0.0000 0.5000 0.5000  2 Ca 2.18
Cr 0.5000 0.0000 0.5000  2 Ca 2.18
Au 0.5000 0.5000 0.0000  8 Cr 3.08, 4 Li 3.08

Computed properties:
The calculation puts the density of states at the Fermi level at 8.56 states/eV per cell. The calculation puts the formation energy from the elements at 1911 meV per atom. Its space group is P4/mmm.

---

Record 15
CaCrMoAu2 | PBE | relaxed

a b c (Å): 4.7758 4.7758 4.7156
angles (deg): 90.00 90.00 90.00
With the nearest neighbours (Å) after each atom.
Sites, in units of the cell vectors:
Ca 0.0000 0.0000 0.0000  2 Cr 2.36
Cr 0.0000 0.0000 0.5000  2 Ca 2.36, 4 Au 2.39
Mo 0.5000 0.5000 0.0000  8 Au 3.36, 4 Ca 3.38
Au 0.0000 0.5000 0.5000  2 Cr 2.39
Au 0.5000 0.0000 0.5000  2 Cr 2.39

Computed properties:
The calculation puts the density of states at the Fermi level at 10.36 states/eV per cell. The calculation puts the formation energy from the elements at 1530 meV per atom. Its space group is P4/mmm.

---

Uncorrected energy readings, ordered: -16.85, -16.28, -18.52, -17.01, -18.66, -17.06, -16.98, -17.31, -29.37, -21.21, -18.92, -21.87, -20.14, -16.88, -21.36 eV per formula unit
Total moment readings, ordered: 1.1494, 1.2380, 1.1595, 1.1395, 1.1077, 1.2055, 1.1947, 1.1193, 2.6663, 0.8296, 0.9630, 0.0768, 0.0005, 0.0001, 0.0001 μB/atom